Below is a relaxed structure of Al2SiNi5, with properties calculated at the PBE-GGA level.

Its raw formation energy is -47.4 kJ/mol of atoms. The calculation puts the total magnetization at 0.0 Bohr magnetons per cell. Its symmetry is I4/mmm.

Cell: 7.0646 7.0646 7.0646 Å, 149.26 149.26 44.02°
Sites, in units of the cell vectors:
Ni  0.8777  0.3777  0.5000
Ni  0.6223  0.1223  0.5000
Ni  0.5000  0.5000  0.0000
Ni  0.1223  0.6223  0.5000
Ni  0.3777  0.8777  0.5000
Al  0.7460  0.7460  0.0000
Al  0.2540  0.2540  0.0000
Si  0.0000  0.0000  0.0000

=====

Below is a relaxed structure of AlSiNi2, with properties calculated at the PBE-GGA level.

Its raw formation energy is -37.9 kJ/mol of atoms. The calculation puts the total magnetization at 0.0 Bohr magnetons per cell. Its symmetry is P2/m.

Cell: 2.7158 4.6175 4.8776 Å, 51.51 90.00 90.00°
Sites, in units of the cell vectors:
Ni  0.5000  0.5000  0.0000
Ni  0.0000  0.0000  0.0000
Si  0.5000  0.5000  0.5000
Al  0.0000  0.0000  0.5000

=====

Below is a relaxed structure of AlSiNi, with properties calculated at the PBE-GGA level.

Its raw formation energy is -33.1 kJ/mol of atoms. The calculation puts the total magnetization at 0.0 Bohr magnetons per cell. Its symmetry is I4/mmm.

Cell: 3.9131 3.9138 10.8926 Å, 90.00 90.00 90.00°
Sites, in units of the cell vectors:
Al  0.7502  0.2500  0.8631
Al  0.2499  0.7500  0.3631
Al  0.7502  0.2500  0.6369
Al  0.2499  0.7500  0.1369
Ni  0.2501  0.2500  0.0001
Ni  0.7499  0.7500  0.9999
Ni  0.7499  0.7500  0.5001
Ni  0.2501  0.2500  0.4999
Si  0.7499  0.2500  0.1336
Si  0.7499  0.2500  0.3664
Si  0.2501  0.7500  0.8664
Si  0.2501  0.7500  0.6336

=====

| no. | VASP energy (eV for the cell shown) |
| --- | --- |
| 1 | -45.75 |
| 2 | -22.30 |
| 3 | -63.90 |